4
Lattice="2.9247 0.0000 0.0000 0.0000 4.3344 0.0000 0.0000 0.0000 4.7028" Properties=species:S:1:pos:R:3 comment="MgZnIr2 | Alexandria via LeMat-Bulk | PBE | relaxed" final_energy_ev_per_atom=-5.31 total_magnetization_mub_per_fu=0.000 sg="Pmmm (47)" pbc="T T T"
Mg 0.0000 0.0000 0.0000
Zn 1.4623 0.0000 2.3514
Ir 0.0000 2.1672 2.3514
Ir 1.4623 2.1672 0.0000

---

8
Lattice="-1.9286 1.9286 9.1552 1.9286 -1.9286 9.1552 1.9286 1.9286 -9.1552" Properties=species:S:1:pos:R:3 comment="MgZn2Ir | Alexandria via LeMat-Bulk | PBE | relaxed" final_energy_ev_per_atom=-3.19 total_magnetization_mub_per_fu=0.000 sg="I-42d (122)" pbc="T T T"
Mg 0.0000 0.0000 0.0000
Mg 0.0000 1.9286 4.5776
Zn 0.9643 -0.8008 6.8664
Zn 1.1279 0.9643 2.2888
Zn 0.9643 2.7294 -2.2888
Zn 0.8008 0.9643 11.4440
Ir 1.9286 0.0000 4.5776
Ir 0.0000 0.0000 9.1552

---

4
Lattice="1.4260 0.8233 8.4372 -1.4260 0.8233 8.4372 0.0000 -1.6466 8.4372" Properties=species:S:1:pos:R:3 comment="MgZnIr2 | Alexandria via LeMat-Bulk | PBE | relaxed" final_energy_ev_per_atom=-5.36 total_magnetization_mub_per_fu=0.000 sg="R3m (160)" pbc="T T T"
Mg 0.0000 0.0000 0.0000
Zn 0.0000 0.0000 21.0948
Ir 0.0000 0.0000 6.2814
Ir 0.0000 0.0000 10.5964

---

8
Lattice="-3.6254 3.6254 2.5497 3.6254 -3.6254 2.5497 3.6254 3.6254 -2.5497" Properties=species:S:1:pos:R:3 comment="MgZnIr2 | Alexandria via LeMat-Bulk | PBE | relaxed" final_energy_ev_per_atom=-4.86 total_magnetization_mub_per_fu=0.000 sg="I-42d (122)" pbc="T T T"
Mg 0.0000 0.0000 0.0000
Mg 0.0000 3.6254 1.2749
Zn 3.6254 0.0000 1.2749
Zn 0.0000 0.0000 2.5497
Ir 1.8127 -1.5441 1.9123
Ir 2.0813 1.8127 0.6374
Ir 1.8127 5.1695 -0.6374
Ir 1.5441 1.8127 3.1872

---

14
Lattice="6.0852 -2.6949 0.0000 6.0852 2.6949 0.0000 -2.0149 0.0000 8.9539" Properties=species:S:1:pos:R:3 comment="Mg5ZnIr | Alexandria via LeMat-Bulk | PBE | relaxed" final_energy_ev_per_atom=-2.64 total_magnetization_mub_per_fu=0.000 sg="C2/c (15)" pbc="T T T"
Mg 1.1357 0.3682 5.9817
Mg 4.5740 1.3904 6.7154
Mg 2.1431 -0.3682 1.5048
Mg 2.6601 0.3167 8.7491
Mg 3.6675 -0.3167 4.2722
Mg 6.4880 0.3167 4.6818
Mg 7.4954 -0.3167 0.2048
Mg 8.0124 0.3682 7.4492
Mg 5.5815 -1.3904 2.2385
Mg 9.0198 -0.3682 2.9722
Zn 5.5815 1.3629 2.2385
Zn 4.5740 -1.3629 6.7154
Ir 0.0000 0.0000 0.0000
Ir -1.0074 0.0000 4.4770

---

4
Lattice="1.4838 -2.3524 0.0000 1.4838 2.3524 0.0000 0.0000 0.0000 8.5939" Properties=species:S:1:pos:R:3 comment="MgZnIr2 | Alexandria via LeMat-Bulk | PBE | relaxed" final_energy_ev_per_atom=-5.26 total_magnetization_mub_per_fu=0.000 sg="Cmmm (65)" pbc="T T T"
Mg 0.0000 0.0000 0.0000
Zn 0.0000 0.0000 4.2969
Ir 1.4838 0.0000 2.1866
Ir 1.4838 0.0000 6.4073

---

ΔH_f (0 K) / eV/atom: -0.167, 0.057, -0.210, 0.287, -0.056, -0.108